## YTe2P (PBE)

Data for a geometry-optimized YTe2P structure.

Calculated values
The value obtained for the density of states at the Fermi level is 0.503 states/eV/atom. The calculation puts the formation energy from raw total energies at -0.264 eV/atom. For the uncorrected energy, the calculation gives -19.21 eV/cell.

a = 9.3573 Å, b = 9.3573 Å, c = 9.3573 Å
α = 25.91°, β = 25.91°, γ = 25.91°
Positions (direct):
Y (0.0000, 0.0000, 0.0000)
Te (0.4025, 0.4025, 0.4025)
Te (0.5975, 0.5975, 0.5975)
P (0.5000, 0.5000, 0.5000)

***

## YTe2P (PBE)

Data for a geometry-optimized YTe2P structure.

Calculated values
The value obtained for the density of states at the Fermi level is 0.318 states/eV/atom. The calculation puts the formation energy from raw total energies at -0.502 eV/atom. For the uncorrected energy, the calculation gives -20.16 eV/cell.

a = 5.7708 Å, b = 5.7708 Å, c = 5.7708 Å
α = 138.34°, β = 126.14°, γ = 70.32°
Positions (direct):
Y (0.0000, 0.0000, 0.0000)
Te (0.3014, 0.8014, 0.5000)
Te (0.6986, 0.1986, 0.5000)
P (0.5000, 0.5000, 0.0000)

***

## Y5Te4P (PBE)

Data for a geometry-optimized Y5Te4P structure.

Calculated values
The value obtained for the density of states at the Fermi level is 0.477 states/eV/atom. The calculation puts the formation energy from raw total energies at -1.404 eV/atom. For the uncorrected energy, the calculation gives -64.33 eV/cell.

a = 16.0363 Å, b = 16.0363 Å, c = 16.0363 Å
α = 164.84°, β = 164.84°, γ = 21.50°
Positions (direct):
Y (0.0000, 0.0000, 0.0000)
Y (0.2116, 0.2116, 0.0000)
Y (0.4154, 0.4154, 0.0000)
Y (0.5846, 0.5846, 0.0000)
Y (0.7884, 0.7884, 0.0000)
Te (0.1024, 0.1024, 0.0000)
Te (0.3100, 0.3100, 0.0000)
Te (0.6900, 0.6900, 0.0000)
Te (0.8976, 0.8976, 0.0000)
P (0.5000, 0.5000, 0.0000)

***

## Y3TeP (PBE)

Data for a geometry-optimized Y3TeP structure.

Calculated values
The value obtained for the density of states at the Fermi level is 0.779 states/eV/atom. The calculation puts the formation energy from raw total energies at -1.164 eV/atom. The energy above the most stable polymorph in this dataset comes out at 0 meV/atom. For the uncorrected energy, the calculation gives -67.52 eV/cell.

a = 6.8511 Å, b = 4.1659 Å, c = 9.3495 Å
α = 90.00°, β = 95.63°, γ = 90.00°
Positions (direct):
Y (0.0109, 0.2500, 0.1586)
Y (0.3016, 0.7500, 0.4148)
Y (0.4833, 0.7500, 0.8397)
Y (0.5167, 0.2500, 0.1603)
Y (0.6984, 0.2500, 0.5852)
Y (0.9891, 0.7500, 0.8414)
Te (0.2075, 0.2500, 0.6536)
Te (0.7925, 0.7500, 0.3464)
P (0.2588, 0.7500, 0.0929)
P (0.7412, 0.2500, 0.9071)

***

## YTe2P (PBE)

Data for a geometry-optimized YTe2P structure.

Calculated values
The value obtained for the density of states at the Fermi level is 0.211 states/eV/atom. The calculation puts the formation energy from raw total energies at -0.422 eV/atom. For the uncorrected energy, the calculation gives -39.69 eV/cell.

a = 4.6710 Å, b = 4.6710 Å, c = 14.3585 Å
α = 90.00°, β = 90.00°, γ = 128.48°
Positions (direct):
Y (0.0000, 0.0000, 0.0000)
Y (0.0000, 0.0000, 0.5000)
Te (0.3090, 0.6910, 0.6188)
Te (0.3090, 0.6910, 0.8812)
Te (0.6910, 0.3090, 0.1188)
Te (0.6910, 0.3090, 0.3812)
P (0.1601, 0.8399, 0.2500)
P (0.8399, 0.1601, 0.7500)

***

## Y2TeP (PBE)

Data for a geometry-optimized Y2TeP structure.

Calculated values
The value obtained for the density of states at the Fermi level is 0.445 states/eV/atom. The calculation puts the formation energy from raw total energies at -1.310 eV/atom. The energy above the most stable polymorph in this dataset comes out at 263 meV/atom. For the uncorrected energy, the calculation gives -26.72 eV/cell.

a = 7.6414 Å, b = 7.6414 Å, c = 7.6414 Å
α = 150.70°, β = 150.56°, γ = 42.02°
Positions (direct):
Y (0.0000, 0.0000, 0.0000)
Y (0.7131, 0.2131, 0.5000)
Te (0.3222, 0.8222, 0.5000)
P (0.5680, 0.5680, 0.0000)

***

## YTe2P (PBE)

Data for a geometry-optimized YTe2P structure.

Calculated values
The value obtained for the density of states at the Fermi level is 0.533 states/eV/atom. The calculation puts the formation energy from raw total energies at -0.400 eV/atom. For the uncorrected energy, the calculation gives -19.76 eV/cell.

a = 6.2218 Å, b = 6.2218 Å, c = 6.2218 Å
α = 139.49°, β = 139.49°, γ = 58.64°
Positions (direct):
Y (0.0000, 0.0000, 0.0000)
Te (0.2500, 0.7500, 0.5000)
Te (0.7500, 0.2500, 0.5000)
P (0.5000, 0.5000, 0.0000)

***

## Y5TeP4 (PBE)

Data for a geometry-optimized Y5TeP4 structure.

Calculated values
The value obtained for the density of states at the Fermi level is 0.260 states/eV/atom. The calculation puts the formation energy from raw total energies at -1.586 eV/atom. For the uncorrected energy, the calculation gives -72.96 eV/cell.

a = 10.8473 Å, b = 10.8473 Å, c = 10.8473 Å
α = 158.45°, β = 148.96°, γ = 38.11°
Positions (direct):
Y (0.0000, 0.0000, 0.0000)
Y (0.1982, 0.1982, 0.0000)
Y (0.3861, 0.3861, 0.0000)
Y (0.6139, 0.6139, 0.0000)
Y (0.8018, 0.8018, 0.0000)
Te (0.5000, 0.0000, 0.5000)
P (0.0997, 0.5997, 0.5000)
P (0.2959, 0.7959, 0.5000)
P (0.7041, 0.2041, 0.5000)
P (0.9003, 0.4003, 0.5000)

***

Number 1: theoretical density 4519 kg/m3, spin magnetization 0.000 μB/atom. Number 2: theoretical density 6153 kg/m3, spin magnetization 0.000 μB/atom. Number 3: theoretical density 5806 kg/m3, spin magnetization 0.000 μB/atom. Number 4: theoretical density 5319 kg/m3, spin magnetization 0.000 μB/atom. Number 5: theoretical density 5079 kg/m3, spin magnetization 0.000 μB/atom. Number 6: theoretical density 5217 kg/m3, spin magnetization 0.232 μB/atom. Number 7: theoretical density 6185 kg/m3, spin magnetization 0.000 μB/atom. Number 8: theoretical density 4787 kg/m3, spin magnetization 0.000 μB/atom.